# 1
{"formula": "Sr2ScAg3Sb4", "functional": "PBE-GGA", "state": "optimized geometry", "e_tot_ev_per_cell": -40.20, "total_magnetization_mub_per_cell": 0.0, "lattice": [[4.828, 0.000, 0.000], [0.000, 4.828, 0.000], [0.000, 0.000, 11.810]], "species": ["Sr", "Sr", "Sc", "Ag", "Ag", "Ag", "Sb", "Sb", "Sb", "Sb"], "frac_coords": [[0.000, 0.500, 0.227], [0.500, 0.000, 0.773], [0.000, 0.000, 0.500], [0.000, 0.500, 0.868], [0.500, 0.000, 0.132], [0.500, 0.500, 0.500], [0.000, 0.000, 0.000], [0.000, 0.500, 0.637], [0.500, 0.000, 0.363], [0.500, 0.500, 0.000]]}

=====

# 2
{"formula": "Pr5NdSm3", "functional": "PBE-GGA", "state": "optimized geometry", "e_tot_ev_per_cell": -76.18, "total_magnetization_mub_per_cell": 0.0, "e_above_lowest_polymorph_ev_per_atom": 0.269, "lattice": [[5.818, -5.789, 0.000], [5.818, 5.789, 0.000], [-5.305, 0.000, 10.689]], "species": ["Pr", "Pr", "Pr", "Pr", "Pr", "Pr", "Pr", "Pr", "Pr", "Pr", "Nd", "Nd", "Sm", "Sm", "Sm", "Sm", "Sm", "Sm"], "frac_coords": [[0.030, 0.030, 0.382], [0.062, 0.532, 0.354], [0.193, 0.193, 0.905], [0.243, 0.757, 0.000], [0.468, 0.938, 0.646], [0.532, 0.062, 0.354], [0.757, 0.243, 0.000], [0.807, 0.807, 0.095], [0.938, 0.468, 0.646], [0.970, 0.970, 0.618], [0.410, 0.410, 0.206], [0.590, 0.590, 0.794], [0.121, 0.121, 0.157], [0.292, 0.292, 0.653], [0.500, 0.500, 0.000], [0.500, 0.500, 0.500], [0.708, 0.708, 0.347], [0.879, 0.879, 0.843]]}